Computed, not measured: a relaxed SrRu2Pb crystal at the PBE-GGA level of DFT.

Cell and atoms, written as POSCAR:
```
SrRu2Pb
1.0
-3.2871 1.0585 -0.4843
-0.7758 -3.0745 -1.4545
-2.5102 -5.5978 4.8025
Ru Sr Pb
2 1 1
Cartesian
-1.7259 -4.4557 1.9756
-2.4272 -5.4782 4.5009
-2.4650 -1.6388 0.5949
-4.1080 -5.9750 2.2689
```

Properties
formation energy from the elements	0.540	eV/atom